Crystalline NpAl4Cu2 at its relaxed geometry, computed with GGA-PBE.

The space group is Pnma (No. 62) and the conventional cell measures 16.882, 4.205 and 6.573 Å, with angles of 90.00, 90.00 and 90.00 degrees. The distinct sites, in fractional coordinates, are Np at (0.133, 0.250, 0.009), Al at (0.034, 0.750, 0.811), Al at (0.076, 0.250, 0.500), Al at (0.188, 0.750, 0.318), Al at (0.194, 0.750, 0.720), Cu at (0.039, 0.750, 0.250) and Cu at (0.221, 0.250, 0.522).

***

Crystalline NpAlCu at its relaxed geometry, computed with GGA-PBE.

The space group is I4mm (No. 107) and the conventional cell measures 2.870, 2.870 and 12.286 Å, with angles of 90.00, 90.00 and 90.00 degrees. The distinct sites, in fractional coordinates, are Np at (0.000, 0.000, 0.000), Al at (0.000, 0.000, 0.306) and Cu at (0.000, 0.000, 0.682).

***

Crystalline Np2Al12Cu7 at its relaxed geometry, computed with GGA-PBE.

The space group is P-3 (No. 147) and the conventional cell measures 9.9966, 9.9966 and 3.9479 Å, with angles of 90.00, 90.00 and 120.00 degrees. The distinct sites, in fractional coordinates, are Np at (0.3333, 0.6667, 0.2590), Al at (0.0528, 0.4359, 0.7507), Al at (0.1176, 0.2673, 0.2542), Cu at (0.0000, 0.0000, 0.5000) and Cu at (0.1186, 0.7083, 0.7559).

***

Crystalline NpAl2Cu at its relaxed geometry, computed with GGA-PBE.

The space group is P4/mmm (No. 123) and the conventional cell measures 2.694, 2.694 and 8.409 Å, with angles of 90.00, 90.00 and 90.00 degrees. The distinct sites, in fractional coordinates, are Np at (0.000, 0.000, 0.000), Al at (0.500, 0.500, 0.285) and Cu at (0.000, 0.000, 0.500).

***

Crystalline NpAl4Cu at its relaxed geometry, computed with GGA-PBE.

The space group is C2/m (No. 12) and the conventional cell measures 15.182, 6.425 and 4.744 Å, with angles of 90.00, 108.13 and 90.00 degrees. The distinct sites, in fractional coordinates, are Np at (0.204, 0.000, 0.203), Al at (0.000, 0.186, 0.000), Al at (0.112, 0.232, 0.612), Al at (0.160, 0.500, 0.161) and Cu at (0.000, 0.500, 0.259).

***

Crystalline NpAl8Cu4 at its relaxed geometry, computed with GGA-PBE.

The space group is I4/mmm (No. 139) and the conventional cell measures 8.838, 8.838 and 5.098 Å, with angles of 90.00, 90.00 and 90.00 degrees. The distinct sites, in fractional coordinates, are Np at (0.000, 0.000, 0.000), Al at (0.000, 0.217, 0.500), Al at (0.000, 0.346, 0.000) and Cu at (0.250, 0.250, 0.250).

***

Crystalline NpAl6Cu6 at its relaxed geometry, computed with GGA-PBE.

The space group is Immm (No. 71) and the conventional cell measures 5.062, 8.631 and 8.756 Å, with angles of 90.00, 90.00 and 90.00 degrees. The distinct sites, in fractional coordinates, are Np at (0.000, 0.000, 0.000), Al at (0.000, 0.000, 0.348), Al at (0.000, 0.346, 0.000), Al at (0.000, 0.500, 0.300), Cu at (0.000, 0.268, 0.500) and Cu at (0.250, 0.250, 0.250).

***

Crystalline NpAlCu at its relaxed geometry, computed with GGA-PBE.

The space group is P-6m2 (No. 187) and the conventional cell measures 4.6690, 4.6690 and 2.8200 Å, with angles of 90.00, 90.00 and 120.00 degrees. The distinct sites, in fractional coordinates, are Np at (0.0000, 0.0000, 0.0000), Al at (0.3333, 0.6667, 0.5000) and Cu at (0.6667, 0.3333, 0.5000).

***

Energy relative to the elements (eV per atom)
-0.1581; 0.0009; -0.1494; -0.0850; -0.0064; -0.2223; -0.2298; -0.0280